A plane-wave DFT calculation with GGA-PBEsol was carried out for a relaxed structure of MnBeCd4.

Lattice parameters (Å, degrees): 5.461 5.461 5.461 60.00 60.00 60.00
Positions (direct):
1 Mn 0.000 0.000 0.000
2 Be 0.250 0.250 0.250
3 Cd 0.125 0.625 0.625
4 Cd 0.625 0.125 0.625
5 Cd 0.625 0.625 0.125
6 Cd 0.625 0.625 0.625

## Properties
Calculated volume (Å³ per cell): 115.2
Calculated total energy (eV/atom): -2.455
Calculated formation energy (eV per atom): 0.636